[1]
The following is a GGA-PBE calculation of an optimized crystal structure of Ce2PmTlOs, from Alexandria.

POSCAR file:
```
Ce2PmTlOs
1.0
5.272 0.000 0.000
0.000 5.272 0.000
0.000 0.000 5.744
Tl Pm Ce Os
1 1 2 1
Cartesian
2.636 2.636 2.881
0.000 5.272 2.870
0.000 2.636 5.741
2.636 5.272 5.742
0.000 0.000 5.743
```

Properties
For the energy of formation, the calculation gives -10 kJ/mol of atoms.

***

[2]
The following is a GGA-PBE calculation of an optimized crystal structure of CePmZnOs, from Alexandria.

POSCAR file:
```
CePmZnOs
1.0
5.012 0.000 0.000
2.506 4.341 0.000
2.506 1.447 4.092
Ce Zn Os Pm
1 1 1 1
Cartesian
2.506 1.447 1.023
0.000 0.000 0.000
5.012 2.894 2.046
7.518 4.341 3.069
```

Properties
For the energy of formation, the calculation gives -15 kJ/mol of atoms.

***

[3]
The following is a GGA-PBE calculation of an optimized crystal structure of CePr2Os2, from Alexandria.

POSCAR file:
```
CePr2Os2
1.0
4.009 0.000 1.708
1.064 5.133 3.062
-0.213 0.306 6.060
Pr Ce Os
2 1 2
Cartesian
3.581 4.221 5.493
1.279 1.219 5.337
2.537 2.567 2.385
4.670 4.164 8.498
0.191 1.276 2.332
```

Properties
For the energy of formation, the calculation gives -13 kJ/mol of atoms.

***

[4]
The following is a GGA-PBE calculation of an optimized crystal structure of Ce5Pr2Os4, from Alexandria.

POSCAR file:
```
Ce5Pr2Os4
1.0
-3.625 -3.527 3.972
-6.257 -2.695 -2.897
1.637 -6.836 0.630
Ce Os Pr
5 4 2
Cartesian
-0.702 -6.912 1.010
-2.528 -8.690 3.011
-2.310 -4.765 -1.134
-5.717 -4.368 -1.307
-7.543 -6.145 0.695
-7.049 -9.573 0.684
-3.678 -2.617 -0.475
-1.195 -3.484 1.021
-4.566 -10.440 2.180
-3.867 -5.377 2.108
-4.377 -7.681 -0.403
```

Properties
For the energy of formation, the calculation gives -2 kJ/mol of atoms.

***

[5]
The following is a GGA-PBE calculation of an optimized crystal structure of Ce3Pr4Os2, from Alexandria.

POSCAR file:
```
Ce3Pr4Os2
1.0
3.702 0.000 -1.021
-0.845 8.392 -3.063
0.440 -0.903 8.818
Pr Os Ce
4 2 3
Cartesian
0.503 5.019 1.825
1.640 0.362 5.948
2.794 2.469 2.909
1.657 7.126 -1.213
1.910 3.227 -0.297
1.387 4.262 5.032
3.099 6.057 4.016
-0.422 4.196 -1.532
0.198 1.432 0.719
```

Properties
For the energy of formation, the calculation gives -8 kJ/mol of atoms.

***

[6]
The following is a GGA-PBE calculation of an optimized crystal structure of Ce3PrOs3, from Alexandria.

POSCAR file:
```
Ce3PrOs3
1.0
-2.118 -8.608 0.549
6.115 -6.199 -1.754
2.747 -4.963 4.629
Ce Os Pr
6 6 2
Cartesian
0.898 -11.235 3.402
6.118 -11.677 1.932
0.626 -8.094 1.492
3.883 -6.759 2.587
2.861 -13.011 0.837
5.846 -8.535 0.022
3.373 -6.988 0.097
1.602 -8.070 3.850
0.326 -10.942 0.932
5.141 -11.701 -0.426
6.418 -8.829 2.492
3.371 -12.782 3.327
5.410 -14.835 3.820
1.334 -4.936 -0.396
```

Properties
For the energy of formation, the calculation gives -6 kJ/mol of atoms.

***

[7]
The following is a GGA-PBE calculation of an optimized crystal structure of Ce3PrOs2, from Alexandria.

POSCAR file:
```
Ce3PrOs2
1.0
5.077 0.000 0.000
-2.539 8.300 -0.388
0.000 -4.096 7.340
Pr Ce Os
2 6 4
Cartesian
0.000 1.778 0.177
2.539 2.425 6.775
2.539 4.969 4.044
0.000 -0.766 2.908
2.539 -0.876 5.320
0.000 2.439 4.564
2.539 1.765 2.389
0.000 5.079 1.632
2.539 4.118 1.207
0.000 0.085 5.745
0.000 4.689 5.653
2.539 -0.486 1.299
```

Properties
For the energy of formation, the calculation gives -4 kJ/mol of atoms.

***

[8]
The following is a GGA-PBE calculation of an optimized crystal structure of Ce4PrOs4, from Alexandria.

POSCAR file:
```
Ce4PrOs4
1.0
6.985 0.000 0.000
0.000 6.985 0.000
0.000 0.000 9.060
Os Ce Pr
8 8 2
Cartesian
4.839 0.000 3.073
3.492 5.638 7.603
2.146 0.000 3.073
3.492 1.347 7.603
0.000 4.839 5.986
1.347 3.492 1.457
0.000 2.146 5.986
5.638 3.492 1.457
1.769 0.000 5.797
5.216 0.000 5.797
1.724 3.492 7.793
3.492 1.724 1.267
0.000 5.216 3.263
3.492 5.261 1.267
0.000 1.769 3.263
5.261 3.492 7.793
3.492 3.492 4.530
0.000 0.000 0.000
```

Properties
For the energy of formation, the calculation gives 2 kJ/mol of atoms.

***

[9]
The following is a GGA-PBE calculation of an optimized crystal structure of CePr2Os, from Alexandria.

POSCAR file:
```
CePr2Os
1.0
6.558 0.000 0.000
0.000 7.284 0.000
0.000 0.000 9.975
Os Pr Ce
4 8 4
Cartesian
0.062 2.689 2.494
3.217 6.331 2.494
6.497 4.595 7.481
3.341 0.953 7.481
2.123 1.232 4.332
5.402 2.410 5.643
4.436 6.052 5.643
1.157 4.875 0.656
1.157 4.875 4.332
4.436 6.052 9.319
5.402 2.410 9.319
2.123 1.232 0.656
1.075 6.880 7.481
4.354 4.046 2.494
2.204 3.238 7.481
5.484 0.404 2.494
```

Properties
The excess energy over the best structure of this formula in the dataset is 0.000 eV/atom. For the energy of formation, the calculation gives -12 kJ/mol of atoms.

***

[10]
The following is a GGA-PBE calculation of an optimized crystal structure of Ce12PrOs6, from Alexandria.

POSCAR file:
```
Ce12PrOs6
1.0
8.213 -0.042 -0.059
-2.077 7.946 -0.059
-2.077 -2.675 7.483
Pr Ce Os
1 12 6
Cartesian
0.000 0.000 0.000
2.030 -1.540 6.632
-0.377 2.253 3.173
-1.995 5.739 3.682
4.437 2.976 4.191
-1.995 1.585 6.632
6.055 -0.510 3.682
2.277 2.932 1.229
1.783 5.036 4.191
2.277 0.193 3.173
2.030 6.769 0.732
6.055 3.645 0.732
1.783 2.297 6.136
-0.727 3.799 5.350
3.861 4.973 1.988
0.199 4.991 2.014
0.199 0.256 5.376
3.861 0.238 5.350
4.786 1.430 2.014
```

Properties
For the energy of formation, the calculation gives -4 kJ/mol of atoms.

***

[11]
The following is a GGA-PBE calculation of an optimized crystal structure of Ce2Pr3Os2, from Alexandria.

POSCAR file:
```
Ce2Pr3Os2
1.0
3.849 -0.003 -0.861
-2.451 5.810 -1.900
0.007 -0.159 9.018
Pr Os Ce
3 2 2
Cartesian
-1.256 4.682 3.430
1.924 -0.001 -0.430
2.661 0.966 2.827
3.370 0.899 6.001
-1.966 4.749 0.256
0.071 3.045 0.321
1.334 2.603 5.936
```

Properties
For the energy of formation, the calculation gives -10 kJ/mol of atoms.

***

[12]
The following is a GGA-PBE calculation of an optimized crystal structure of CePr2Os, from Alexandria.

POSCAR file:
```
CePr2Os
1.0
3.523 0.000 0.000
1.761 3.051 0.000
1.761 1.017 10.980
Pr Os Ce
2 1 1
Cartesian
1.761 1.017 7.566
5.284 3.051 3.413
3.523 2.034 5.490
0.000 0.000 0.000
```

Properties
The excess energy over the best structure of this formula in the dataset is 0.587 eV/atom. For the energy of formation, the calculation gives 44 kJ/mol of atoms.

***

[13]
The following is a GGA-PBE calculation of an optimized crystal structure of Ce4PrOs2, from Alexandria.

POSCAR file:
```
Ce4PrOs2
1.0
-2.232 0.017 -7.095
5.755 -0.632 -3.433
-2.826 -7.110 5.589
Os Ce Pr
4 8 2
Cartesian
-0.949 -5.171 2.346
3.964 -2.079 -6.124
0.401 -2.451 -3.932
-2.269 -5.815 -1.789
1.924 -4.148 -5.862
1.550 -1.246 -6.978
2.713 -1.209 -3.574
-1.856 -2.650 -5.475
0.373 -5.937 -0.045
-0.505 -5.330 -3.774
-0.830 -3.509 -0.833
-3.000 -6.649 0.912
0.413 -0.164 -1.230
2.368 -3.991 -1.921
```

Properties
For the energy of formation, the calculation gives -5 kJ/mol of atoms.

***

[14]
The following is a GGA-PBE calculation of an optimized crystal structure of Ce5Pr2Os3, from Alexandria.

POSCAR file:
```
Ce5Pr2Os3
1.0
-9.013 -2.976 -0.696
2.926 -3.471 8.364
-3.001 3.611 4.151
Pr Ce Os
4 10 6
Cartesian
-1.566 -0.580 7.106
-4.140 -0.653 10.495
-4.948 -2.183 1.325
-7.523 -2.256 4.714
1.695 -2.516 6.143
-4.008 -2.312 4.709
-1.092 -2.465 9.818
-4.538 -4.724 7.005
-4.550 1.889 4.815
-7.273 -2.868 8.143
-10.783 -0.320 5.677
-5.080 -0.524 7.110
-1.815 0.032 3.677
-7.996 -0.370 2.002
-3.434 -2.783 8.116
-8.535 -0.828 7.458
-0.553 -2.007 4.361
-9.725 -2.075 0.370
-5.654 -0.052 3.704
0.637 -0.761 11.449
```

Properties
For the energy of formation, the calculation gives -7 kJ/mol of atoms.

***

[15]
The following is a GGA-PBE calculation of an optimized crystal structure of CePrOsRh, from Alexandria.

POSCAR file:
```
CePrOsRh
1.0
-4.656 -0.734 -1.581
-0.862 -1.085 -4.775
-1.500 -4.564 -1.281
Ce Os Pr Rh
1 1 1 1
Cartesian
-5.263 -4.787 -5.727
-3.509 -3.191 -3.818
-1.754 -1.596 -1.909
0.000 0.000 0.000
```

Properties
For the energy of formation, the calculation gives -26 kJ/mol of atoms.

***

[16]
The following is a GGA-PBE calculation of an optimized crystal structure of CePrTlOs, from Alexandria.

POSCAR file:
```
CePrTlOs
1.0
3.420 0.000 0.000
0.000 3.420 0.000
0.000 0.000 8.770
Pr Ce Os Tl
1 1 1 1
Cartesian
1.710 1.710 6.816
1.710 1.710 3.252
0.000 0.000 4.908
0.000 0.000 0.675
```

Properties
For the energy of formation, the calculation gives -19 kJ/mol of atoms.

***

[17]
The following is a GGA-PBE calculation of an optimized crystal structure of CePrZnOs, from Alexandria.

POSCAR file:
```
CePrZnOs
1.0
-3.792 -0.048 3.333
-0.238 -3.631 3.500
0.885 1.103 4.846
Ce Os Zn Pr
1 1 1 1
Cartesian
-2.358 -1.932 8.760
-1.572 -1.288 5.840
0.000 0.000 0.000
-0.786 -0.644 2.920
```

Properties
For the energy of formation, the calculation gives -11 kJ/mol of atoms.

***

[18]
The following is a GGA-PBE calculation of an optimized crystal structure of Ce6Os2Pt, from Alexandria.

POSCAR file:
```
Ce6Os2Pt
1.0
-0.072 -5.187 -4.024
7.018 0.934 -1.330
2.203 -5.561 7.715
Pt Os Ce
2 4 12
Cartesian
1.101 -2.780 3.858
3.473 -2.126 -2.677
7.733 -6.041 2.216
4.308 -8.902 1.644
1.416 -3.772 0.144
4.841 -0.911 0.717
6.599 -3.433 0.808
6.824 -8.919 2.813
3.587 -4.575 -1.254
7.019 -4.705 -2.747
5.713 -6.794 0.130
3.435 -3.019 2.231
5.561 -5.238 3.615
2.129 -5.108 5.108
6.094 -1.228 -1.989
3.055 -8.585 4.350
2.550 -6.380 1.552
2.325 -0.894 -0.452
```

Properties
The excess energy over the best structure of this formula in the dataset is 0.110 eV/atom. For the energy of formation, the calculation gives -26 kJ/mol of atoms.

***

[19]
The following is a GGA-PBE calculation of an optimized crystal structure of Ce5Os2Pt, from Alexandria.

POSCAR file:
```
Ce5Os2Pt
1.0
5.593 0.000 0.000
-2.797 6.269 0.000
0.000 0.000 13.787
Ce Pt Os
10 2 4
Cartesian
2.797 5.624 8.529
0.000 4.290 6.076
0.000 0.644 5.258
2.797 3.221 3.447
2.797 1.978 12.969
0.000 4.290 0.818
2.797 5.624 12.152
2.797 1.978 7.711
0.000 3.048 10.340
0.000 0.644 1.635
2.797 3.369 10.340
0.000 2.900 3.447
0.000 1.896 7.705
0.000 1.896 12.976
2.797 4.372 0.811
2.797 4.372 6.082
```

Properties
The excess energy over the best structure of this formula in the dataset is 0.205 eV/atom. For the energy of formation, the calculation gives -21 kJ/mol of atoms.

***

[20]
The following is a GGA-PBE calculation of an optimized crystal structure of Ce4Os2Pt, from Alexandria.

POSCAR file:
```
Ce4Os2Pt
1.0
-6.994 -2.272 1.654
4.770 -1.816 5.537
-0.008 7.484 -0.843
Ce Os Pt
8 4 2
Cartesian
0.080 4.087 4.165
-3.140 1.592 4.306
-2.653 0.999 0.488
-3.095 -2.150 4.738
-0.258 0.055 3.237
-4.677 3.627 1.362
-5.762 0.122 2.656
-1.185 4.795 0.554
-1.634 2.800 2.369
-3.233 -1.003 2.259
1.559 5.421 2.291
-1.153 -0.426 5.776
-0.004 0.002 0.001
1.829 1.809 4.143
```

Properties
For the energy of formation, the calculation gives -42 kJ/mol of atoms.

***

[21]
The following is a GGA-PBE calculation of an optimized crystal structure of Ce5OsPt2, from Alexandria.

POSCAR file:
```
Ce5OsPt2
1.0
-2.974 -3.068 -2.043
0.626 -0.678 5.596
-11.695 9.686 2.482
Pt Ce Os
4 10 2
Cartesian
-11.359 7.978 4.557
-7.025 4.389 3.637
-7.018 1.552 2.397
-2.684 -2.038 1.478
-5.602 2.139 4.944
-12.506 5.163 4.964
-12.325 7.019 1.914
-9.441 2.625 4.313
-8.441 3.802 1.090
-4.880 -0.317 2.089
-9.164 6.257 3.945
-4.602 3.316 1.721
-1.537 0.777 1.071
-1.718 -1.078 4.120
-10.336 5.531 1.252
-3.707 0.409 4.782
```

Properties
For the energy of formation, the calculation gives -52 kJ/mol of atoms.